# CdHF3 (PBE, optimized geometry)
# Calculated density (g/cm3): 4.2
# Crystal system: monoclinic
# Total moment (μB per atom): 0.000
# Energy above the lowest structure with this stoichiometry (eV/f.u.): 0.017
data_CdHF3
_cell_length_a 6.7809
_cell_length_b 6.4563
_cell_length_c 6.4563
_cell_angle_alpha 104.64
_cell_angle_beta 82.14
_cell_angle_gamma 82.14
_space_group_name_H-M_alt 'P 1'
_space_group_IT_number 1
loop_
_space_group_symop_operation_xyz
'x,y,z'
loop_
_atom_site_label
_atom_site_type_symbol
_atom_site_fract_x
_atom_site_fract_y
_atom_site_fract_z
F1 F 0.5688 0.0765 0.8292
F2 F 0.1947 0.3602 0.2406
F3 F 0.3053 0.7594 0.6398
F4 F 0.6947 0.2406 0.3602
F5 F 0.4312 0.9235 0.1708
F6 F 0.9058 0.7965 0.4797
F7 F 0.8053 0.6398 0.7594
F8 F 0.0688 0.8292 0.0765
Cd1 Cd 0.7500 0.2961 0.7039
Cd2 Cd 0.7500 0.9351 0.0649
Cd3 Cd 0.2500 0.7039 0.2961
H1 H 0.1405 0.2764 0.4006
F9 F 0.0942 0.2035 0.5203
H2 H 0.8595 0.7236 0.5994
F10 F 0.9312 0.1708 0.9235
Cd4 Cd 0.2500 0.0649 0.9351
F11 F 0.5942 0.5203 0.2035
H3 H 0.6405 0.4006 0.2764
H4 H 0.3595 0.5994 0.7236
F12 F 0.4058 0.4797 0.7965